The following is a PBE-GGA calculation of a relaxed Ba2Sn4IrPt3 crystal, from the Alexandria database.

Cell: 4.7141 4.7141 11.0373 Å, 90.00 90.00 90.00°
With the nearest neighbours (Å) after each atom.
Space group P-4m2 (No. 115)
Asymmetric unit:
Ba (0.0000, 0.5000, 0.2472)  6 Pt 3.60-3.61, 2 Ir 3.61, 8 Sn 3.61-3.65
Sn (0.0000, 0.0000, 0.5000)  4 Pt 2.75
Sn (0.0000, 0.5000, 0.8782)  2 Ir 2.71, 3 Pt 2.71-2.75
Sn (0.5000, 0.5000, 0.5000)  4 Pt 2.75
Ir (0.5000, 0.5000, 0.0000)  4 Sn 2.71
Pt (0.0000, 0.0000, 0.0000)  4 Sn 2.71
Pt (0.0000, 0.5000, 0.6288)  5 Sn 2.75

Computed properties:
Crystal system: tetragonal
Total magnetization, μB per cell: 0.000
Formation energy, eV per formula unit: -6.91